Here is a geometry-optimized CdSiAs2 structure from the Alexandria database. Energies are from GGA-PBE.

The structure in POSCAR format:
```
CdSiAs2
1.0
5.989 0.683 0.000
2.948 5.257 0.000
-4.468 -2.970 2.746
As Cd Si
2 1 1
Cartesian
0.000 0.000 0.000
1.474 2.629 1.373
4.468 2.970 0.000
2.994 0.342 1.373
```

Calculated values
SG   I-4m2
Raw total energy   -13.83 eV/f.u.
Calculated density   5.96 g/cm³
Raw formation energy   0.45 eV/atom



Here is a geometry-optimized CdSiAs structure from the Alexandria database. Energies are from GGA-PBE.

The structure in POSCAR format:
```
CdSiAs
1.0
4.610 0.000 0.000
2.305 3.992 0.000
2.305 1.331 3.764
As Cd Si
1 1 1
Cartesian
4.610 2.661 1.882
2.305 1.331 0.941
0.000 0.000 0.000
```

Calculated values
SG   F-43m
Raw total energy   -9.42 eV/f.u.
Energy above the most stable polymorph in this dataset   0.252 eV per atom
Calculated density   5.16 g/cm³
Raw formation energy   0.52 eV/atom



Here is a geometry-optimized Cd2SiAs structure from the Alexandria database. Energies are from GGA-PBE.

The structure in POSCAR format:
```
Cd2SiAs
1.0
-2.620 -3.999 -1.087
0.881 -2.455 -4.152
2.100 -4.427 0.168
As Cd Si
1 2 1
Cartesian
0.181 -5.440 -2.535
0.000 0.000 0.000
0.090 -2.720 -1.268
0.271 -8.161 -3.803
```

Calculated values
SG   F-43m
Raw total energy   -10.30 eV/f.u.
Calculated density   6.53 g/cm³
Raw formation energy   0.40 eV/atom



Which formula does entry 1 have?
CdSiAs2



The highest raw total energy belongs to which entry?
CdSiAs